1.
# Ac2MgSi (PBE, relaxed)
data_Ac2MgSi
_symmetry_space_group_name_H-M 'P 1 21/m 1'
_symmetry_Int_Tables_number 11
_symmetry_space_group_name_Hall '-P 2yb'
_cell_length_a 6.5531
_cell_length_b 4.4102
_cell_length_c 9.4451
_cell_angle_alpha 90.00
_cell_angle_beta 108.16
_cell_angle_gamma 90.00
loop_
_atom_site_label
_atom_site_type_symbol
_atom_site_fract_x
_atom_site_fract_y
_atom_site_fract_z
Ac1 Ac 0.1981 0.2500 0.4223
Ac2 Ac 0.2711 0.7500 0.0712
Mg1 Mg 0.3417 0.7500 0.7235
Si1 Si 0.1435 0.2500 0.7992
# Volume: 32.420 Å³ per atom
# Final energy: -4.083 eV/atom
# ΔE_f (raw): -0.274 eV/atom


2.
# Ac2Mg3Si2 (PBE, relaxed)
data_Ac2Mg3Si2
_symmetry_space_group_name_H-M 'C m m m'
_symmetry_Int_Tables_number 65
_symmetry_space_group_name_Hall '-C 2 2'
_cell_length_a 3.9393
_cell_length_b 21.7849
_cell_length_c 4.5354
_cell_angle_alpha 90.00
_cell_angle_beta 90.00
_cell_angle_gamma 90.00
loop_
_atom_site_label
_atom_site_type_symbol
_atom_site_fract_x
_atom_site_fract_y
_atom_site_fract_z
Ac1 Ac 0.0000 0.1692 0.0000
Mg1 Mg 0.0000 0.0000 0.0000
Mg2 Mg 0.0000 0.4293 0.5000
Si1 Si 0.0000 0.2825 0.5000
# Volume: 27.801 Å³ per atom
# Final energy: -3.691 eV/atom
# ΔE_f (raw): -0.284 eV/atom


3.
# Ac4Mg5Si6 (PBE, relaxed)
data_Ac4Mg5Si6
_symmetry_space_group_name_H-M 'C m c 21'
_symmetry_Int_Tables_number 36
_symmetry_space_group_name_Hall 'C 2c -2'
_cell_length_a 4.5842
_cell_length_b 20.4253
_cell_length_c 16.6302
_cell_angle_alpha 90.00
_cell_angle_beta 90.00
_cell_angle_gamma 90.00
loop_
_atom_site_label
_atom_site_type_symbol
_atom_site_fract_x
_atom_site_fract_y
_atom_site_fract_z
Ac1 Ac 0.0000 0.0139 0.0000
Ac2 Ac 0.0000 0.0317 0.2610
Ac3 Ac 0.0000 0.1661 0.8029
Ac4 Ac 0.0000 0.1760 0.4433
Mg1 Mg 0.0000 0.1542 0.1229
Mg2 Mg 0.0000 0.2995 0.1214
Mg3 Mg 0.0000 0.3411 0.7615
Mg4 Mg 0.0000 0.3512 0.4837
Mg5 Mg 0.0000 0.4401 0.1625
Si1 Si 0.0000 0.1155 0.6207
Si2 Si 0.0000 0.2211 0.9838
Si3 Si 0.0000 0.2269 0.2611
Si4 Si 0.0000 0.4272 0.6263
Si5 Si 0.0000 0.4364 0.8929
Si6 Si 0.0000 0.4475 0.3542
# Volume: 25.953 Å³ per atom
# Final energy: -4.250 eV/atom
# ΔE_f (raw): -0.454 eV/atom


4.
# AcMgSi2 (PBE, relaxed)
data_AcMgSi2
_symmetry_space_group_name_H-M 'A m m 2'
_symmetry_Int_Tables_number 38
_symmetry_space_group_name_Hall 'A 2 -2'
_cell_length_a 4.1276
_cell_length_b 6.2302
_cell_length_c 8.2455
_cell_angle_alpha 90.00
_cell_angle_beta 90.00
_cell_angle_gamma 90.00
loop_
_atom_site_label
_atom_site_type_symbol
_atom_site_fract_x
_atom_site_fract_y
_atom_site_fract_z
Ac1 Ac 0.0000 0.0000 0.0000
Mg1 Mg 0.5000 0.0000 0.5841
Si1 Si 0.5000 0.1853 0.2933
# Volume: 26.505 Å³ per atom
# Final energy: -4.356 eV/atom
# Relative energy among the computed polymorphs: 220 meV per atom
# ΔE_f (raw): -0.219 eV/atom


5.
# Ac2MgSi (PBE, relaxed)
data_Ac2MgSi
_symmetry_space_group_name_H-M 'P 4/m m m'
_symmetry_Int_Tables_number 123
_symmetry_space_group_name_Hall '-P 4 2'
_cell_length_a 4.0571
_cell_length_b 4.0571
_cell_length_c 7.6645
_cell_angle_alpha 90.00
_cell_angle_beta 90.00
_cell_angle_gamma 90.00
loop_
_atom_site_label
_atom_site_type_symbol
_atom_site_fract_x
_atom_site_fract_y
_atom_site_fract_z
Ac1 Ac 0.0000 0.0000 0.2176
Mg1 Mg 0.5000 0.5000 0.5000
Si1 Si 0.5000 0.5000 0.0000
# Volume: 31.539 Å³ per atom
# Final energy: -4.032 eV/atom
# ΔE_f (raw): -0.223 eV/atom


6.
# Ac12MgSi5 (PBE, relaxed)
data_Ac12MgSi5
_symmetry_space_group_name_H-M 'I m m m'
_symmetry_Int_Tables_number 71
_symmetry_space_group_name_Hall '-I 2 2'
_cell_length_a 10.6449
_cell_length_b 10.6940
_cell_length_c 11.1870
_cell_angle_alpha 90.00
_cell_angle_beta 90.00
_cell_angle_gamma 90.00
loop_
_atom_site_label
_atom_site_type_symbol
_atom_site_fract_x
_atom_site_fract_y
_atom_site_fract_z
Ac1 Ac 0.0000 0.1988 0.2293
Ac2 Ac 0.2015 0.5000 0.1799
Ac3 Ac 0.2273 0.3234 0.5000
Mg1 Mg 0.0000 0.0000 0.5000
Si1 Si 0.0000 0.0000 0.0000
Si2 Si 0.0000 0.3813 0.0000
Si3 Si 0.0000 0.5000 0.3916
# Volume: 35.375 Å³ per atom
# Final energy: -4.656 eV/atom
# ΔE_f (raw): -0.322 eV/atom


- The lowest volume belongs to which entry?
  Ac4Mg5Si6


- final energy of number 3 (Ac4Mg5Si6)?
  -4.250 eV/atom


- Which value of final energy does entry 5 give?
  -4.032 eV/atom